# NdHo6In6 PBE optimized geometry
data_NdHo6In6
_cell_length_a 6.2395
_cell_length_b 6.2395
_cell_length_c 10.7508
_cell_angle_alpha 90.00
_cell_angle_beta 90.00
_cell_angle_gamma 120.00
_space_group_name_H-M_alt 'P 6/m m m'
_space_group_IT_number 191
_space_group_name_Hall '-P 6 2'
loop_
_atom_site_label
_atom_site_fract_x
_atom_site_fract_y
_atom_site_fract_z
Nd1 0.0000 0.0000 0.0000
Ho1 0.0000 0.0000 0.3405
Ho2 0.3333 0.6667 0.0000
Ho3 0.3333 0.6667 0.5000
In1 0.0000 0.5000 0.2454
# density of states at the Fermi level	15.21	states/eV per cell
# calculated volume	362.5	Å³/cell
# formation energy	-7.64	kcal/mol of atoms
# total moment	0.000	μB/f.u.